# 1
## LiAl2Tc (PBE)

Data for a relaxed structure of LiAl2Tc.

```
LiAl2Tc
1.0
-1.670 -0.883 -1.926
2.067 -0.145 -1.727
1.446 -7.976 2.401
Tc Li Al
1 1 2
direct
0.500 0.500 0.763 Tc
0.000 0.000 0.505 Li
0.500 0.500 0.241 Al
0.000 0.000 0.991 Al
```

Properties
The calculation puts the energy above the lowest structure with this stoichiometry at 1.46 eV per formula unit. The calculation puts the energy of formation at 5.2 kJ/mol of atoms. As for the space group: P4mm.

# 2
## PSe3Cl (PBE)

Data for a relaxed structure of PSe3Cl.

```
PSe3Cl
1.0
-2.436 3.267 2.647
0.045 -3.038 3.792
4.205 1.925 1.492
P Cl Se
1 1 3
direct
0.000 0.000 0.000 P
0.500 0.500 0.500 Cl
0.000 0.000 0.500 Se
0.500 0.000 0.000 Se
0.000 0.500 0.000 Se
```

Properties
The calculation puts the energy above the lowest structure with this stoichiometry at 3.65 eV per formula unit. The calculation puts the formation energy without anion corrections at 2.8 eV per formula unit. As for the space group: Pm-3m.

# 3
## Tb2PrSm6Y (PBE)

Data for a relaxed structure of Tb2PrSm6Y.

```
Tb2PrSm6Y
1.0
9.307 -2.073 -2.152
0.764 8.654 -2.060
0.764 -2.380 8.572
Pr Sm Y Tb
2 12 2 4
direct
0.250 0.406 0.594 Pr
0.750 0.594 0.406 Pr
0.622 0.499 0.708 Sm
0.055 0.119 0.754 Sm
0.878 0.292 0.501 Sm
0.555 0.754 0.119 Sm
0.378 0.501 0.292 Sm
0.317 0.976 0.429 Sm
0.817 0.429 0.976 Sm
0.945 0.881 0.246 Sm
0.445 0.246 0.881 Sm
0.183 0.571 0.024 Sm
0.122 0.708 0.499 Sm
0.683 0.024 0.571 Sm
0.250 0.976 0.024 Y
0.750 0.024 0.976 Y
0.543 0.193 0.296 Tb
0.043 0.296 0.193 Tb
0.957 0.704 0.807 Tb
0.457 0.807 0.704 Tb
```

Properties
The calculation puts the energy of formation at 11.3 kJ/mol of atoms. As for the space group: C2/c.

# 4
## BeAs2Se (PBE)

Data for a relaxed structure of BeAs2Se.

```
BeAs2Se
1.0
-3.224 -1.723 -1.001
1.880 -4.002 0.833
-0.614 -1.324 4.258
As Se Be
2 1 1
direct
0.000 0.449 0.449 As
0.000 0.051 0.051 As
0.500 0.750 0.750 Se
0.500 0.250 0.250 Be
```

Properties
The calculation puts the energy above the lowest structure with this stoichiometry at 1.76 eV per formula unit. The calculation puts the formation energy without anion corrections at 0.6 eV per formula unit. As for the space group: Cmmm.

# 5
## CsKBa2P (PBE)

Data for a relaxed structure of CsKBa2P.

```
CsKBa2P
1.0
6.422 0.000 0.000
0.000 6.422 0.000
0.000 0.000 7.023
Ba P K Cs
2 1 1 1
direct
0.000 0.500 0.000 Ba
0.500 0.000 0.000 Ba
0.000 0.000 0.000 P
0.000 0.000 0.500 K
0.500 0.500 0.500 Cs
```

Properties
The calculation puts the energy of formation at -27.8 kJ/mol of atoms. As for the space group: P4/mmm.

# 6
## HfBi3P (PBE)

Data for a relaxed structure of HfBi3P.

```
HfBi3P
1.0
-0.972 4.712 -2.881
-4.785 0.742 2.829
2.758 2.948 3.892
Hf Bi P
1 3 1
direct
0.000 0.000 0.000 Hf
0.000 0.000 0.500 Bi
0.500 0.000 0.000 Bi
0.000 0.500 0.000 Bi
0.500 0.500 0.500 P
```

Properties
The calculation puts the energy above the lowest structure with this stoichiometry at 0.27 eV per formula unit. The calculation puts the energy of formation at 76.6 kJ/mol of atoms. As for the space group: Pm-3m.

# 7
## Hf2SbAs (PBE)

Data for a relaxed structure of Hf2SbAs.

```
Hf2SbAs
1.0
3.855 0.000 0.000
1.927 3.338 0.000
1.927 1.113 6.806
Hf Sb As
2 1 1
direct
0.261 0.261 0.217 Hf
0.072 0.072 0.784 Hf
0.499 0.499 0.502 Sb
0.668 0.668 0.997 As
```

Properties
The calculation puts the formation energy without anion corrections at -3.0 eV per formula unit. As for the space group: R3m.

# 8
## LaNd9Y2 (PBE)

Data for a relaxed structure of LaNd9Y2.

```
LaNd9Y2
1.0
5.186 0.000 0.000
0.000 5.186 0.000
0.000 0.000 15.578
Nd La Y
9 1 2
direct
0.500 0.000 0.169 Nd
0.500 0.000 0.500 Nd
0.000 0.500 0.500 Nd
0.500 0.500 0.664 Nd
0.500 0.500 0.000 Nd
0.500 0.000 0.831 Nd
0.000 0.500 0.169 Nd
0.500 0.500 0.336 Nd
0.000 0.500 0.831 Nd
0.000 0.000 0.000 La
0.000 0.000 0.335 Y
0.000 0.000 0.665 Y
```

Properties
The calculation puts the energy of formation at 1.5 kJ/mol of atoms. As for the space group: P4/mmm.

E_tot, respectively: -4.8878 -2.9851 -4.7644 -3.9779 -2.5297 -4.6075 -7.9246 -5.0484 eV/atom.